(1)
KSnAuS3 GGA-PBE relaxed; E = -3.938 eV/atom
1.0
1.939 -7.998 0.000
1.939 7.998 0.000
0.000 0.000 10.082
K Sn Au S
2 2 2 6
direct
0.207 0.793 0.750
0.793 0.207 0.250
0.500 0.500 0.000
0.500 0.500 0.500
0.121 0.879 0.250
0.879 0.121 0.750
0.114 0.886 0.022
0.114 0.886 0.478
0.450 0.550 0.250
0.550 0.450 0.750
0.886 0.114 0.522
0.886 0.114 0.978

=====

(2)
TmSiNO GGA-PBE relaxed; E = -7.457 eV/atom
1.0
3.143 0.000 0.000
0.000 5.888 0.000
0.000 0.000 5.762
Tm Si N O
2 2 2 2
direct
0.000 0.211 0.000
0.000 0.789 0.500
0.500 0.253 0.535
0.500 0.747 0.035
0.000 0.179 0.396
0.000 0.821 0.896
0.500 0.461 0.049
0.500 0.539 0.549

=====

(3)
Cd2Ni9 GGA-PBE relaxed; energy of formation = 0.193 eV per atom; E = -4.526 eV/atom
1.0
2.606 0.000 0.000
-1.303 2.257 0.000
0.000 0.000 34.432
Cd Ni
2 9
direct
0.333 0.667 0.296
0.667 0.333 0.704
0.000 0.000 0.000
0.000 0.000 0.170
0.000 0.000 0.830
0.333 0.667 0.113
0.333 0.667 0.774
0.333 0.667 0.944
0.667 0.333 0.056
0.667 0.333 0.226
0.667 0.333 0.887

=====

(4)
NdMoIr GGA-PBE relaxed; energy of formation = 0.394 eV per atom; E = -7.762 eV/atom
1.0
0.000 3.263 3.263
3.263 0.000 3.263
3.263 3.263 0.000
Nd Mo Ir
1 1 1
direct
0.000 0.000 0.000
0.500 0.500 0.500
0.250 0.250 0.250